No. 1
VASP calculation (GGA-PBE) on a geometry-optimized Pd2RuSe2 structure.

It has space group P4/mbm (No. 127), with a = 6.792 Å, b = 6.792 Å, c = 3.652 Å, α = 90.00°, β = 90.00° and γ = 90.00°. The inequivalent atoms are Pd at (0.147, 0.353, 0.000), Ru at (0.000, 0.000, 0.500) and Se at (0.165, 0.665, 0.500).

Its total moment is 0.0 μB per formula unit. As for the uncorrected formation energy: 0.56 eV per formula unit. Its crystal system is tetragonal. As for the volume: 84 Å³/f.u.


No. 2
VASP calculation (GGA-PBE) on a geometry-optimized In6SnBi5 structure.

It has space group P-1 (No. 2), with a = 5.054 Å, b = 8.829 Å, c = 8.941 Å, α = 73.86°, β = 73.81° and γ = 73.54°. The inequivalent atoms are In at (0.001, 0.249, 0.251), In at (0.333, 0.918, 0.913), In at (0.335, 0.413, 0.418), Sn at (0.500, 0.000, 0.500), Bi at (0.165, 0.835, 0.336), Bi at (0.166, 0.336, 0.831) and Bi at (0.500, 0.500, 0.000).

Its total moment is 0.0 μB per formula unit. The energy of formation from the pure elements comes out at 0.044 eV per atom. Its crystal system is triclinic. As for the volume: 359 Å³/f.u.


No. 3
VASP calculation (GGA-PBE) on a geometry-optimized CePmBi structure.

It has space group Pnma (No. 62), with a = 8.409 Å, b = 4.059 Å, c = 10.311 Å, α = 90.00°, β = 90.00° and γ = 90.00°. The inequivalent atoms are Ce at (0.082, 0.250, 0.060), Pm at (0.121, 0.250, 0.399) and Bi at (0.150, 0.250, 0.729).

Its total moment is 0.4 μB per formula unit. The energy of formation from the pure elements comes out at -0.509 eV per atom. Its crystal system is orthorhombic. As for the volume: 88 Å³/f.u.